CuAsSe2: relaxed, GGA-PBE.

Results
Space group: No. 99
VASP energy in eV per atom: -3.9649
Fermi-level density of states in states/eV per cell: 0.8
Size of the total moment in μB/cell: 0.0
Calculated density in g/cm3: 5.91

a b c (Å): 3.7484 3.7484 5.9319
angles (deg): 90.00 90.00 90.00
Positions (direct):
Cu1 0.0000 0.0000 0.0000
As1 0.5000 0.5000 0.4980
Se1 0.0000 0.0000 0.4073
Se2 0.5000 0.5000 0.9037

---

Cu4AsSe: relaxed, GGA-PBE.

Results
Space group: No. 216
VASP energy in eV per atom: -3.8449
Fermi-level density of states in states/eV per cell: 2.2
Size of the total moment in μB/cell: 0.0
Calculated density in g/cm3: 7.70

a b c (Å): 4.9918 4.9918 4.9918
angles (deg): 60.00 60.00 60.00
Positions (direct):
Cu1 0.1255 0.1255 0.1255
Cu2 0.1255 0.1255 0.6236
Cu3 0.1255 0.6236 0.1255
Cu4 0.6236 0.1255 0.1255
As1 0.5000 0.5000 0.5000
Se1 0.7500 0.7500 0.7500

---

CuAsSe2: relaxed, GGA-PBE.

Results
Space group: No. 10
VASP energy in eV per atom: -3.8555
Fermi-level density of states in states/eV per cell: 1.3
Size of the total moment in μB/cell: 0.0
Calculated density in g/cm3: 6.20

a b c (Å): 2.8399 3.7306 7.4890
angles (deg): 90.00 90.56 90.00
Positions (direct):
Cu1 0.0000 0.0000 0.0000
As1 0.0000 0.0000 0.5000
Se1 0.0072 0.5000 0.7732
Se2 0.9928 0.5000 0.2268

---

CuAsSe4: relaxed, GGA-PBE.

Results
Space group: No. 216
VASP energy in eV per atom: -2.9499
Fermi-level density of states in states/eV per cell: 3.5
Size of the total moment in μB/cell: 0.0
Calculated density in g/cm3: 5.97

a b c (Å): 5.6323 5.6323 5.6323
angles (deg): 60.00 60.00 60.00
Positions (direct):
Cu1 0.0000 0.0000 0.0000
As1 0.2500 0.2500 0.2500
Se1 0.1250 0.6250 0.6250
Se2 0.6250 0.1250 0.6250
Se3 0.6250 0.6250 0.1250
Se4 0.6250 0.6250 0.6250

---

CuAsSe2: relaxed, GGA-PBE.

Results
Space group: No. 122
VASP energy in eV per atom: -3.9371
Fermi-level density of states in states/eV per cell: 0.0
Size of the total moment in μB/cell: 0.0
Calculated density in g/cm3: 4.90

a b c (Å): 7.2182 7.2182 7.2182
angles (deg): 132.48 132.48 69.47
Positions (direct):
Cu1 0.0000 0.0000 0.0000
Cu2 0.7500 0.2500 0.5000
As1 0.2500 0.7500 0.5000
As2 0.5000 0.5000 0.0000
Se1 0.0940 0.6250 0.9690
Se2 0.3750 0.3440 0.4690
Se3 0.6560 0.1250 0.0310
Se4 0.8750 0.9060 0.5310

---

CuAsSe: relaxed, GGA-PBE.

Results
Space group: No. 12
VASP energy in eV per atom: -4.1619
Fermi-level density of states in states/eV per cell: 1.4
Size of the total moment in μB/cell: 0.0
Calculated density in g/cm3: 5.41

a b c (Å): 3.9682 3.9682 9.7793
angles (deg): 90.04 90.04 60.09
Positions (direct):
Cu1 0.1662 0.1662 0.1940
Cu2 0.8338 0.8338 0.8060
As1 0.1672 0.1672 0.4382
As2 0.8328 0.8328 0.5618
Se1 0.4991 0.4991 0.1283
Se2 0.5009 0.5009 0.8717

---

Cu2As2Se: relaxed, GGA-PBE.

Results
Space group: No. 127
VASP energy in eV per atom: -3.9681
Fermi-level density of states in states/eV per cell: 3.8
Size of the total moment in μB/cell: 0.0
Calculated density in g/cm3: 6.57

a b c (Å): 6.8365 6.8365 3.8502
angles (deg): 90.00 90.00 90.00
Positions (direct):
Cu1 0.1340 0.3660 0.0000
Cu2 0.3660 0.8660 0.0000
Cu3 0.6340 0.1340 0.0000
Cu4 0.8660 0.6340 0.0000
As1 0.1268 0.6268 0.5000
As2 0.3732 0.1268 0.5000
As3 0.6268 0.8732 0.5000
As4 0.8732 0.3732 0.5000
Se1 0.0000 0.0000 0.0000
Se2 0.5000 0.5000 0.0000

---

CuSiAs2Se: relaxed, GGA-PBE.

Results
Space group: No. 123
VASP energy in eV per atom: -3.6572
Fermi-level density of states in states/eV per cell: 4.5
Size of the total moment in μB/cell: 0.0
Calculated density in g/cm3: 4.89

a b c (Å): 4.7714 4.7714 4.7821
angles (deg): 90.00 90.00 90.00
Positions (direct):
Cu1 0.0000 0.0000 0.0000
Si1 0.5000 0.5000 0.5000
As1 0.0000 0.5000 0.5000
As2 0.5000 0.0000 0.5000
Se1 0.5000 0.5000 0.0000

---

CuSiAs2Se: relaxed, GGA-PBE.

Results
Space group: No. 123
VASP energy in eV per atom: -3.6857
Fermi-level density of states in states/eV per cell: 4.7
Size of the total moment in μB/cell: 0.0
Calculated density in g/cm3: 4.99

a b c (Å): 4.6245 4.6245 4.9833
angles (deg): 90.00 90.00 90.00
Positions (direct):
Cu1 0.0000 0.0000 0.0000
Si1 0.5000 0.5000 0.5000
As1 0.0000 0.5000 0.0000
As2 0.5000 0.0000 0.0000
Se1 0.0000 0.0000 0.5000

---

CuSn2AsSe: relaxed, GGA-PBE.

Results
Space group: No. 123
VASP energy in eV per atom: -3.6899
Fermi-level density of states in states/eV per cell: 3.3
Size of the total moment in μB/cell: 0.0
Calculated density in g/cm3: 6.09

a b c (Å): 5.2371 5.2371 4.5232
angles (deg): 90.00 90.00 90.00
Positions (direct):
Cu1 0.0000 0.0000 0.0000
Sn1 0.0000 0.5000 0.0000
Sn2 0.5000 0.0000 0.0000
As1 0.5000 0.5000 0.5000
Se1 0.0000 0.0000 0.5000

---

CuSnAsSe3: relaxed, GGA-PBE.

Results
Space group: No. 11
VASP energy in eV per atom: -4.0648
Size of the total moment in μB/cell: 0.0
Calculated density in g/cm3: 5.71

a b c (Å): 8.3109 3.9286 8.9539
angles (deg): 90.00 100.71 90.00
Positions (direct):
Cu1 0.0678 0.2500 0.0854
Cu2 0.9322 0.7500 0.9146
Sn1 0.1752 0.2500 0.7697
Sn2 0.8248 0.7500 0.2303
As1 0.3343 0.7500 0.3737
As2 0.6657 0.2500 0.6263
Se1 0.1181 0.2500 0.3653
Se2 0.2377 0.7500 0.0143
Se3 0.4219 0.7500 0.6539
Se4 0.5781 0.2500 0.3461
Se5 0.7623 0.2500 0.9857
Se6 0.8819 0.7500 0.6347

---

CuSnAs2Se: relaxed, GGA-PBE.

Results
Space group: No. 123
VASP energy in eV per atom: -3.7762
Fermi-level density of states in states/eV per cell: 4.9
Size of the total moment in μB/cell: 0.0
Calculated density in g/cm3: 6.05

a b c (Å): 4.7153 4.7153 5.0741
angles (deg): 90.00 90.00 90.00
Positions (direct):
Cu1 0.0000 0.0000 0.0000
Sn1 0.5000 0.5000 0.5000
As1 0.0000 0.5000 0.0000
As2 0.5000 0.0000 0.0000
Se1 0.0000 0.0000 0.5000